Below is an optimized crystal structure of Cs2BeGaRh, with properties calculated at the GGA-PBEsol level. Values from VASP.

```
&SYSTEM
  ibrav = 0, nat = 5, ntyp = 4
/
ATOMIC_SPECIES
Cs 132.91 Cs.upf
Be 9.01 Be.upf
Rh 102.91 Rh.upf
Ga 69.72 Ga.upf
CELL_PARAMETERS angstrom
-3.178 -0.623 -2.674
-2.539 -4.502 4.067
-3.469 4.694 3.030
ATOMIC_POSITIONS crystal
Cs 0.000 0.000 0.500
Cs 0.000 0.500 0.000
Be 0.500 0.000 0.000
Rh 0.500 0.500 0.500
Ga 0.000 0.000 0.000
```

* space-group type: No. 123
* D(E_F): 12.69 states/eV per cell
* formation energy: 1.16 eV per atom
* volume: 36.33 A^3/atom

=====

Below is an optimized crystal structure of CsKBeGe2, with properties calculated at the GGA-PBEsol level. Values from VASP.

```
&SYSTEM
  ibrav = 0, nat = 5, ntyp = 4
/
ATOMIC_SPECIES
Cs 132.91 Cs.upf
Be 9.01 Be.upf
Ge 72.64 Ge.upf
K 39.10 K.upf
CELL_PARAMETERS angstrom
4.642 0.000 0.000
0.000 4.642 0.000
0.000 0.000 6.049
ATOMIC_POSITIONS crystal
Cs 0.000 0.000 0.500
Be 0.000 0.000 0.000
Ge 0.000 0.500 0.000
Ge 0.500 0.000 0.000
K 0.500 0.500 0.500
```

* space-group type: No. 123
* D(E_F): 3.00 states/eV per cell
* formation energy: 0.36 eV per atom
* volume: 26.07 A^3/atom

=====

Below is an optimized crystal structure of CsMgBe2Ge, with properties calculated at the GGA-PBEsol level. Values from VASP.

```
&SYSTEM
  ibrav = 0, nat = 5, ntyp = 4
/
ATOMIC_SPECIES
Cs 132.91 Cs.upf
Be 9.01 Be.upf
Ge 72.64 Ge.upf
Mg 24.30 Mg.upf
CELL_PARAMETERS angstrom
5.059 0.000 0.000
0.000 5.059 0.000
0.000 0.000 5.167
ATOMIC_POSITIONS crystal
Cs 0.500 0.500 0.500
Be 0.000 0.500 0.000
Be 0.500 0.000 0.000
Ge 0.000 0.000 0.500
Mg 0.000 0.000 0.000
```

* space-group type: No. 123
* D(E_F): 3.53 states/eV per cell
* formation energy: 1.04 eV per atom
* volume: 26.45 A^3/atom

=====

Below is an optimized crystal structure of CsBeGe2N, with properties calculated at the GGA-PBEsol level. Values from VASP.

```
&SYSTEM
  ibrav = 0, nat = 5, ntyp = 4
/
ATOMIC_SPECIES
Cs 132.91 Cs.upf
Be 9.01 Be.upf
Ge 72.64 Ge.upf
N 14.01 N.upf
CELL_PARAMETERS angstrom
4.288 0.000 0.000
0.000 4.288 0.000
0.000 0.000 5.927
ATOMIC_POSITIONS crystal
Cs 0.000 0.000 0.500
Be 0.500 0.500 0.500
Ge 0.000 0.500 0.000
Ge 0.500 0.000 0.000
N 0.000 0.000 0.000
```

* space-group type: No. 123
* formation energy without anion corrections: 1.129 eV/atom
* D(E_F): 4.73 states/eV per cell
* volume: 21.80 A^3/atom